No. 1
Crystalline SnHg5Pb6 at its relaxed geometry. Source: the Alexandria database, functional PBE.

DOS at the Fermi energy ... 4.32 states/eV/f.u.
VASP energy ... -27.27 eV/f.u.
Crystal system ... monoclinic
Mass density ... 11.4 g/cm³
Total magnetization ... 0.0 μB/cell
E_form ... 41 meV/atom

Unit cell a=8.252 b=8.252 c=5.718 alpha=109.83 beta=109.83 gamma=83.90
Fractional positions:
Sn (0.000, 0.000, 0.000)
Hg (0.152, 0.848, 0.500)
Hg (0.316, 0.684, 0.000)
Hg (0.500, 0.500, 0.500)
Hg (0.684, 0.316, 0.000)
Hg (0.848, 0.152, 0.500)
Pb (0.090, 0.426, 0.259)
Pb (0.268, 0.268, 0.768)
Pb (0.426, 0.090, 0.259)
Pb (0.574, 0.910, 0.741)
Pb (0.732, 0.732, 0.232)
Pb (0.910, 0.574, 0.741)

=====

No. 2
Crystalline OsPd4 at its relaxed geometry. Source: the Alexandria database, functional PBE.

DOS at the Fermi energy ... 3.44 states/eV/f.u.
VASP energy ... -25.30 eV/f.u.
Crystal system ... cubic
Mass density ... 9.5 g/cm³
Total magnetization ... 0.0 μB/cell
E_form ... 1341 meV/atom

Unit cell a=4.765 b=4.765 c=4.765 alpha=90.00 beta=90.00 gamma=90.00
Fractional positions:
Os (0.000, 0.000, 0.000)
Pd (0.000, 0.000, 0.500)
Pd (0.000, 0.500, 0.000)
Pd (0.500, 0.000, 0.000)
Pd (0.500, 0.500, 0.500)

=====

No. 3
Crystalline MgHgSe at its relaxed geometry. Source: the Alexandria database, functional PBE.

VASP energy ... -7.31 eV/f.u.
ΔE_f (raw) ... -0.643 eV per atom
Distance to the lowest polymorph of the same formula ... 0.0 kJ/mol of atoms
Crystal system ... tetragonal
Mass density ... 5.8 g/cm³
Total magnetization ... 0.0 μB/cell

Unit cell a=6.852 b=6.852 c=6.852 alpha=148.56 beta=148.56 gamma=45.06
Fractional positions:
Mg (0.000, 0.000, 0.000)
Hg (0.779, 0.779, 0.000)
Se (0.543, 0.543, 0.000)

=====

No. 4
Crystalline VCoPd at its relaxed geometry. Source: the Alexandria database, functional PBE.

DOS at the Fermi energy ... 2.19 states/eV/f.u.
VASP energy ... -21.79 eV/f.u.
Distance to the lowest polymorph of the same formula ... 4.9 kJ/mol of atoms
Crystal system ... tetragonal
Mass density ... 9.1 g/cm³
Total magnetization ... 0.0 μB/cell
E_form ... -125 meV/atom

Unit cell a=4.881 b=4.881 c=4.881 alpha=144.30 beta=144.30 gamma=51.38
Fractional positions:
V (0.000, 0.000, 0.000)
Co (0.620, 0.620, 0.000)
Pd (0.313, 0.313, 0.000)

=====

No. 5
Crystalline HfTlCl2 at its relaxed geometry. Source: the Alexandria database, functional PBE.

DOS at the Fermi energy ... 2.71 states/eV/f.u.
VASP energy ... -17.50 eV/f.u.
ΔE_f (raw) ... -0.371 eV per atom
Distance to the lowest polymorph of the same formula ... 57.0 kJ/mol of atoms
Crystal system ... tetragonal
Mass density ... 7.7 g/cm³
Total magnetization ... 1.5 μB/cell

Unit cell a=9.718 b=9.718 c=9.718 alpha=152.46 beta=152.46 gamma=39.33
Fractional positions:
Hf (0.000, 0.000, 0.000)
Hf (0.750, 0.250, 0.500)
Tl (0.250, 0.750, 0.500)
Tl (0.500, 0.500, 0.000)
Cl (0.069, 0.625, 0.944)
Cl (0.375, 0.319, 0.444)
Cl (0.681, 0.125, 0.056)
Cl (0.875, 0.931, 0.556)

=====

No. 6
Crystalline Tm2AlIr at its relaxed geometry. Source: the Alexandria database, functional PBE.

DOS at the Fermi energy ... 1.44 states/eV/f.u.
VASP energy ... -24.29 eV/f.u.
Crystal system ... tetragonal
Mass density ... 11.0 g/cm³
Total magnetization ... 0.0 μB/cell
E_form ... -687 meV/atom

Unit cell a=3.495 b=3.495 c=6.863 alpha=90.00 beta=90.00 gamma=90.00
Fractional positions:
Tm (0.000, 0.000, 0.231)
Tm (0.000, 0.000, 0.769)
Al (0.500, 0.500, 0.500)
Ir (0.500, 0.500, 0.000)

=====

No. 7
Crystalline BaNiTe2 at its relaxed geometry. Source: the Alexandria database, functional PBE.

DOS at the Fermi energy ... 0.48 states/eV/f.u.
VASP energy ... -16.87 eV/f.u.
ΔE_f (raw) ... -0.721 eV per atom
Crystal system ... monoclinic
Mass density ... 5.6 g/cm³
Total magnetization ... 0.0 μB/cell

Unit cell a=6.639 b=6.639 c=5.358 alpha=100.24 beta=100.24 gamma=35.46
Fractional positions:
Ba (0.000, 0.000, 0.000)
Ni (0.199, 0.199, 0.495)
Te (0.577, 0.577, 0.534)
Te (0.815, 0.815, 0.427)

=====

No. 8
Crystalline InCo3Br9 at its relaxed geometry. Source: the Alexandria database, functional PBE.

DOS at the Fermi energy ... 1.26 states/eV/f.u.
VASP energy ... -44.18 eV/f.u.
ΔE_f (raw) ... -0.390 eV per atom
Crystal system ... monoclinic
Mass density ... 3.8 g/cm³
Total magnetization ... 18.0 μB/cell

Unit cell a=10.284 b=10.284 c=13.164 alpha=123.86 beta=123.86 gamma=53.36
Fractional positions:
In (0.230, 0.770, 0.500)
In (0.770, 0.230, 0.000)
Co (0.021, 0.257, 0.829)
Co (0.257, 0.021, 0.329)
Co (0.288, 0.437, 0.673)
Co (0.437, 0.288, 0.173)
Co (0.665, 0.804, 0.223)
Co (0.804, 0.665, 0.723)
Br (0.079, 0.204, 0.203)
Br (0.090, 0.924, 0.325)
Br (0.168, 0.423, 0.027)
Br (0.204, 0.079, 0.703)
Br (0.312, 0.670, 0.699)
Br (0.373, 0.424, 0.369)
Br (0.423, 0.168, 0.527)
Br (0.424, 0.373, 0.869)
Br (0.468, 0.766, 0.236)
Br (0.509, 0.987, 0.097)
Br (0.535, 0.770, 0.561)
Br (0.670, 0.312, 0.199)
Br (0.766, 0.468, 0.736)
Br (0.770, 0.535, 0.061)
Br (0.828, 0.891, 0.929)
Br (0.891, 0.828, 0.429)
Br (0.924, 0.090, 0.825)
Br (0.987, 0.509, 0.597)

=====

No. 9
Crystalline TlZnRe at its relaxed geometry. Source: the Alexandria database, functional PBE.

DOS at the Fermi energy ... 2.73 states/eV/f.u.
VASP energy ... -13.72 eV/f.u.
Distance to the lowest polymorph of the same formula ... 5.7 kJ/mol of atoms
Crystal system ... tetragonal
Mass density ... 13.3 g/cm³
Total magnetization ... 0.0 μB/cell
E_form ... 789 meV/atom

Unit cell a=7.194 b=7.194 c=7.194 alpha=156.98 beta=156.98 gamma=32.78
Fractional positions:
Tl (0.000, 0.000, 0.000)
Zn (0.303, 0.303, 0.000)
Re (0.675, 0.675, 0.000)

=====

No. 10
Crystalline LaY2Rh at its relaxed geometry. Source: the Alexandria database, functional PBE.

DOS at the Fermi energy ... 7.88 states/eV/f.u.
VASP energy ... -25.51 eV/f.u.
Distance to the lowest polymorph of the same formula ... 40.6 kJ/mol of atoms
Crystal system ... cubic
Mass density ... 7.0 g/cm³
Total magnetization ... 0.0 μB/cell
E_form ... -76 meV/atom

Unit cell a=5.201 b=5.201 c=5.201 alpha=60.00 beta=60.00 gamma=60.00
Fractional positions:
La (0.000, 0.000, 0.000)
Y (0.250, 0.250, 0.250)
Y (0.750, 0.750, 0.750)
Rh (0.500, 0.500, 0.500)

=====

No. 11
Crystalline BaHPtRh2 at its relaxed geometry. Source: the Alexandria database, functional PBE.

DOS at the Fermi energy ... 5.16 states/eV/f.u.
VASP energy ... -24.90 eV/f.u.
Crystal system ... tetragonal
Mass density ... 10.7 g/cm³
Total magnetization ... 0.6 μB/cell

Unit cell a=4.152 b=4.152 c=4.834 alpha=90.00 beta=90.00 gamma=90.00
Fractional positions:
Ba (0.000, 0.000, 0.000)
H (0.000, 0.000, 0.500)
Pt (0.500, 0.500, 0.000)
Rh (0.000, 0.500, 0.500)
Rh (0.500, 0.000, 0.500)

=====

No. 12
Crystalline BeCoP2 at its relaxed geometry. Source: the Alexandria database, functional PBE.

DOS at the Fermi energy ... 2.14 states/eV/f.u.
VASP energy ... -20.97 eV/f.u.
Crystal system ... tetragonal
Mass density ... 4.7 g/cm³
Total magnetization ... 0.0 μB/cell
E_form ... 170 meV/atom

Unit cell a=3.060 b=3.060 c=4.941 alpha=90.00 beta=90.00 gamma=90.00
Fractional positions:
Be (0.000, 0.000, 0.000)
Co (0.000, 0.000, 0.500)
P (0.500, 0.500, 0.263)
P (0.500, 0.500, 0.737)